BaSrCaMoO6 | PBE+U | relaxed

Values from the calculation:
Crystal system   cubic
Final energy   -6.753 eV/atom

Unit cell a=5.961 b=5.961 c=5.961 alpha=60.00 beta=60.00 gamma=60.00
Atoms (fractional coordinates):
Ba  0.250  0.250  0.250
Sr  0.750  0.750  0.750
Ca  0.500  0.500  0.500
Mo  0.000  0.000  0.000
O  0.769  0.769  0.231
O  0.231  0.769  0.231
O  0.769  0.231  0.231
O  0.231  0.231  0.769
O  0.769  0.231  0.769
O  0.231  0.769  0.769